Record 1
# La2TlHg2, optimized geometry, DFT PBE-GGA
# calculated density	9.958	Mg/m³
# DFT formation energy	-37.85	kJ/mol of atoms
# E above lowest polymorph	50.1	meV per atom
data_La2TlHg2
_cell_length_a 5.4295
_cell_length_b 5.4295
_cell_length_c 17.3043
_cell_angle_alpha 90.00
_cell_angle_beta 90.00
_cell_angle_gamma 120.00
_symmetry_space_group_name_H-M 'R -3 m'
_symmetry_Int_Tables_number 166
_symmetry_space_group_name_Hall '-R 3 2"'
loop_
_atom_site_label
_atom_site_fract_x
_atom_site_fract_y
_atom_site_fract_z
La1 0.0000 0.0000 0.2330
Tl1 0.0000 0.0000 0.0000
Hg1 0.0000 0.0000 0.4153


Record 2
# LaTlHg, optimized geometry, DFT PBE-GGA
# calculated density	10.400	Mg/m³
# DFT formation energy	-36.93	kJ/mol of atoms
data_LaTlHg
_cell_length_a 6.9023
_cell_length_b 5.1612
_cell_length_c 9.7510
_cell_angle_alpha 90.00
_cell_angle_beta 90.00
_cell_angle_gamma 90.00
_symmetry_space_group_name_H-M 'P n m a'
_symmetry_Int_Tables_number 62
_symmetry_space_group_name_Hall '-P 2ac 2n'
loop_
_atom_site_label
_atom_site_fract_x
_atom_site_fract_y
_atom_site_fract_z
La1 0.1717 0.2500 0.0902
Tl1 0.1520 0.2500 0.4238
Hg1 0.0540 0.2500 0.7517


Record 3
# La4Tl2Hg3, optimized geometry, DFT PBE-GGA
# calculated density	9.799	Mg/m³
# DFT formation energy	-39.20	kJ/mol of atoms
data_La4Tl2Hg3
_cell_length_a 10.9266
_cell_length_b 5.1938
_cell_length_c 9.8349
_cell_angle_alpha 90.00
_cell_angle_beta 108.00
_cell_angle_gamma 90.00
_symmetry_space_group_name_H-M 'C 1 2/m 1'
_symmetry_Int_Tables_number 12
_symmetry_space_group_name_Hall '-C 2y'
loop_
_atom_site_label
_atom_site_fract_x
_atom_site_fract_y
_atom_site_fract_z
La1 0.0550 0.0000 0.3470
La2 0.1513 0.5000 0.8989
Tl1 0.2121 0.5000 0.2565
Hg1 0.0000 0.0000 0.0000
Hg2 0.1398 0.5000 0.5636


- DFT formation energy of number 2 (LaTlHg)?
  -36.93 kJ/mol of atoms


- Look up the DFT formation energy of the third one.
  -39.20 kJ/mol of atoms


- Which value of DFT formation energy does entry 1 give?
  -37.85 kJ/mol of atoms


- DFT formation energy of number 2 (LaTlHg)?
  -36.93 kJ/mol of atoms